Record 1
SbTeSe2: relaxed, PBE-GGA.

a b c (Å): 4.026 4.026 14.119
angles (deg): 90.00 90.00 90.00
Sites, in units of the cell vectors:
Sb1 0.000 0.000 0.000
Sb2 0.500 0.500 0.500
Te1 0.000 0.500 0.250
Te2 0.500 0.000 0.750
Se1 0.000 0.000 0.500
Se2 0.000 0.500 0.750
Se3 0.500 0.000 0.250
Se4 0.500 0.500 0.000

Summary:
energy above the lowest structure with this stoichiometry = 233 meV/atom
ρ = 5.9 g cm⁻³
final energy = -27.1 eV for the cell shown


Record 2
SbTe2Se2: relaxed, PBE-GGA.

a b c (Å): 7.352 3.972 9.984
angles (deg): 90.00 93.08 90.00
Sites, in units of the cell vectors:
Sb1 0.000 0.000 0.000
Sb2 0.500 0.500 0.000
Te1 0.125 0.500 0.403
Te2 0.375 0.000 0.597
Te3 0.625 0.000 0.403
Te4 0.875 0.500 0.597
Se1 0.164 0.500 0.832
Se2 0.336 0.000 0.168
Se3 0.664 0.000 0.832
Se4 0.836 0.500 0.168

Summary:
energy above the lowest structure with this stoichiometry = 0 meV/atom
ρ = 6.1 g cm⁻³
final energy = -35.0 eV for the cell shown


Record 3
SbTe2Se2: relaxed, PBE-GGA.

a b c (Å): 5.722 5.722 9.137
angles (deg): 90.00 90.00 90.00
Sites, in units of the cell vectors:
Sb1 0.000 0.000 0.000
Sb2 0.500 0.500 0.500
Te1 0.000 0.500 0.250
Te2 0.000 0.500 0.750
Te3 0.500 0.000 0.250
Te4 0.500 0.000 0.750
Se1 0.000 0.000 0.313
Se2 0.000 0.000 0.687
Se3 0.500 0.500 0.187
Se4 0.500 0.500 0.813

Summary:
energy above the lowest structure with this stoichiometry = 284 meV/atom
ρ = 5.9 g cm⁻³
final energy = -32.2 eV for the cell shown


Record 4
SbTeSe2: relaxed, PBE-GGA.

a b c (Å): 3.986 4.044 7.168
angles (deg): 90.00 90.00 90.00
Sites, in units of the cell vectors:
Sb1 0.000 0.000 0.000
Te1 0.500 0.000 0.500
Se1 0.000 0.500 0.500
Se2 0.500 0.500 0.000

Summary:
energy above the lowest structure with this stoichiometry = 224 meV/atom
ρ = 5.9 g cm⁻³
final energy = -13.6 eV for the cell shown


Record 5
SbTe2Se: relaxed, PBE-GGA.

a b c (Å): 6.093 9.651 3.636
angles (deg): 90.00 90.00 90.00
Sites, in units of the cell vectors:
Sb1 0.000 0.000 0.000
Sb2 0.500 0.500 0.000
Te1 0.250 0.250 0.500
Te2 0.250 0.750 0.500
Te3 0.750 0.250 0.500
Te4 0.750 0.750 0.500
Se1 0.000 0.500 0.000
Se2 0.500 0.000 0.000

Summary:
energy above the lowest structure with this stoichiometry = 355 meV/atom
ρ = 7.1 g cm⁻³
final energy = -24.8 eV for the cell shown


Record 6
SbTe2Se: relaxed, PBE-GGA.

a b c (Å): 6.220 6.220 6.134
angles (deg): 90.00 90.00 90.00
Sites, in units of the cell vectors:
Sb1 0.000 0.000 0.000
Sb2 0.500 0.500 0.500
Te1 0.000 0.500 0.000
Te2 0.000 0.500 0.500
Te3 0.500 0.000 0.000
Te4 0.500 0.000 0.500
Se1 0.000 0.000 0.500
Se2 0.500 0.500 0.000

Summary:
energy above the lowest structure with this stoichiometry = 12 meV/atom
ρ = 6.4 g cm⁻³
final energy = -27.5 eV for the cell shown


Record 7
SbTe2Se: relaxed, PBE-GGA.

a b c (Å): 4.315 6.243 8.788
angles (deg): 90.00 90.00 90.00
Sites, in units of the cell vectors:
Sb1 0.000 0.000 0.000
Sb2 0.000 0.500 0.500
Te1 0.000 0.000 0.481
Te2 0.000 0.500 0.981
Te3 0.500 0.000 0.745
Te4 0.500 0.500 0.245
Se1 0.500 0.000 0.228
Se2 0.500 0.500 0.728

Summary:
energy above the lowest structure with this stoichiometry = 0 meV/atom
ρ = 6.4 g cm⁻³
final energy = -27.6 eV for the cell shown


Record 8
SbTe2Se: relaxed, PBE-GGA.

a b c (Å): 3.758 3.758 7.440
angles (deg): 90.00 90.00 90.00
Sites, in units of the cell vectors:
Sb1 0.000 0.000 0.000
Te1 0.500 0.500 0.250
Te2 0.500 0.500 0.750
Se1 0.000 0.000 0.500

Summary:
energy above the lowest structure with this stoichiometry = 271 meV/atom
ρ = 7.2 g cm⁻³
final energy = -12.7 eV for the cell shown


Record 9
SbTe2Se: relaxed, PBE-GGA.

a b c (Å): 7.470 7.470 7.470
angles (deg): 90.00 90.00 90.00
Sites, in units of the cell vectors:
Sb1 0.000 0.000 0.000
Sb2 0.000 0.500 0.500
Sb3 0.500 0.000 0.500
Sb4 0.500 0.500 0.000
Te1 0.000 0.000 0.500
Te2 0.000 0.500 0.000
Te3 0.250 0.250 0.250
Te4 0.250 0.750 0.750
Te5 0.500 0.000 0.000
Te6 0.500 0.500 0.500
Te7 0.750 0.250 0.750
Te8 0.750 0.750 0.250
Se1 0.250 0.250 0.750
Se2 0.250 0.750 0.250
Se3 0.750 0.250 0.250
Se4 0.750 0.750 0.750

Summary:
energy above the lowest structure with this stoichiometry = 247 meV/atom
ρ = 7.3 g cm⁻³
final energy = -51.3 eV for the cell shown


Record 10
SbTe2Se: relaxed, PBE-GGA.

a b c (Å): 4.409 4.409 21.078
angles (deg): 90.00 90.00 120.00
Sites, in units of the cell vectors:
Sb1 0.000 0.000 0.000
Sb2 0.333 0.667 0.667
Sb3 0.667 0.333 0.333
Te1 0.000 0.000 0.510
Te2 0.000 0.000 0.752
Te3 0.333 0.667 0.177
Te4 0.333 0.667 0.418
Te5 0.667 0.333 0.085
Te6 0.667 0.333 0.843
Se1 0.000 0.000 0.259
Se2 0.333 0.667 0.926
Se3 0.667 0.333 0.592

Summary:
energy above the lowest structure with this stoichiometry = 8 meV/atom
ρ = 6.4 g cm⁻³
final energy = -41.4 eV for the cell shown


Record 11
SbTe2Se: relaxed, PBE-GGA.

a b c (Å): 3.926 3.926 9.109
angles (deg): 90.00 90.00 90.00
Sites, in units of the cell vectors:
Sb1 0.000 0.000 0.000
Te1 0.000 0.000 0.500
Te2 0.500 0.500 0.617
Se1 0.500 0.500 0.097

Summary:
energy above the lowest structure with this stoichiometry = 142 meV/atom
ρ = 5.4 g cm⁻³
final energy = -13.3 eV for the cell shown


Record 12
SbTeSe3: relaxed, PBE-GGA.

a b c (Å): 6.729 4.297 11.084
angles (deg): 90.00 100.38 90.00
Sites, in units of the cell vectors:
Sb1 0.245 0.250 0.004
Sb2 0.755 0.750 0.996
Te1 0.385 0.250 0.350
Te2 0.615 0.750 0.650
Se1 0.054 0.750 0.858
Se2 0.270 0.750 0.522
Se3 0.439 0.750 0.168
Se4 0.561 0.250 0.832
Se5 0.730 0.250 0.478
Se6 0.946 0.250 0.142

Summary:
energy above the lowest structure with this stoichiometry = 0 meV/atom
ρ = 5.1 g cm⁻³
final energy = -36.1 eV for the cell shown


Record 13
SbTe2Se: relaxed, PBE-GGA.

a b c (Å): 4.218 4.218 27.408
angles (deg): 90.00 90.00 120.00
Sites, in units of the cell vectors:
Sb1 0.000 0.000 0.000
Sb2 0.333 0.667 0.667
Sb3 0.667 0.333 0.333
Te1 0.000 0.000 0.403
Te2 0.000 0.000 0.597
Te3 0.333 0.667 0.070
Te4 0.333 0.667 0.264
Te5 0.667 0.333 0.736
Te6 0.667 0.333 0.930
Se1 0.000 0.000 0.500
Se2 0.333 0.667 0.167
Se3 0.667 0.333 0.833

Summary:
energy above the lowest structure with this stoichiometry = 131 meV/atom
ρ = 5.4 g cm⁻³
final energy = -39.9 eV for the cell shown


Record 14
SbTe2Se: relaxed, PBE-GGA.

a b c (Å): 3.819 5.060 14.130
angles (deg): 90.00 90.00 90.00
Sites, in units of the cell vectors:
Sb1 0.000 0.000 0.000
Sb2 0.500 0.500 0.500
Te1 0.000 0.000 0.396
Te2 0.000 0.500 0.295
Te3 0.500 0.000 0.795
Te4 0.500 0.500 0.896
Se1 0.000 0.500 0.631
Se2 0.500 0.000 0.131

Summary:
energy above the lowest structure with this stoichiometry = 98 meV/atom
ρ = 5.5 g cm⁻³
final energy = -26.9 eV for the cell shown


Record 15
SbTeSe2: relaxed, PBE-GGA.

a b c (Å): 3.619 7.037 9.301
angles (deg): 90.00 90.00 90.00
Sites, in units of the cell vectors:
Sb1 0.000 0.000 0.000
Sb2 0.500 0.500 0.000
Te1 0.000 0.500 0.321
Te2 0.500 0.000 0.321
Se1 0.000 0.000 0.530
Se2 0.000 0.500 0.792
Se3 0.500 0.000 0.792
Se4 0.500 0.500 0.530

Summary:
energy above the lowest structure with this stoichiometry = 284 meV/atom
ρ = 5.7 g cm⁻³
final energy = -26.7 eV for the cell shown


What did we get for energy relative to the elements, uncorrected? Answer: 0.1741, -0.0272, 0.2563, 0.1652, 0.3724, 0.0294, 0.0174, 0.2887, 0.2647, 0.0252, 0.1595, -0.0630, 0.1481, 0.1155, 0.2257 eV per atom, in the order shown.